No. 1
Below is a relaxed structure of Li2TaMn, with properties calculated at the PBE-GGA level.

total energy	-42.69	eV per cell
symmetry	I-42d
M_tot	0.000	μB/cell
E above lowest polymorph	605	meV per atom
energy of formation	0.88	eV per atom
crystal system	tetragonal

a = 5.441 Å, b = 5.441 Å, c = 5.441 Å
α = 100.73°, β = 100.73°, γ = 128.87°
Fractional positions:
Li 0.097 0.625 0.972
Li 0.375 0.347 0.472
Li 0.653 0.125 0.028
Li 0.875 0.903 0.528
Ta 0.250 0.750 0.500
Ta 0.500 0.500 0.000
Mn 0.000 0.000 0.000
Mn 0.750 0.250 0.500


No. 2
Below is a relaxed structure of Li2TaMn, with properties calculated at the PBE-GGA level.

total energy	-23.43	eV per cell
symmetry	P2/m
M_tot	1.695	μB/cell
E above lowest polymorph	85	meV per atom
energy of formation	0.36	eV per atom
crystal system	monoclinic

a = 2.812 Å, b = 5.004 Å, c = 4.366 Å
α = 90.00°, β = 95.67°, γ = 90.00°
Fractional positions:
Li 0.217 0.000 0.260
Li 0.783 0.000 0.740
Ta 0.500 0.500 0.000
Mn 0.000 0.500 0.500


No. 3
Below is a relaxed structure of Li2TbMnTe4, with properties calculated at the PBE-GGA level.

energy relative to the elements, uncorrected	-834	meV per atom
total energy	-36.87	eV per cell
symmetry	P2/m
M_tot	4.059	μB/cell
crystal system	monoclinic

a = 7.256 Å, b = 4.206 Å, c = 7.351 Å
α = 90.00°, β = 108.75°, γ = 90.00°
Fractional positions:
Li 0.000 0.000 0.000
Li 0.500 0.500 0.000
Tb 0.000 0.500 0.500
Mn 0.500 0.000 0.500
Te 0.270 0.000 0.751
Te 0.274 0.500 0.259
Te 0.726 0.500 0.741
Te 0.730 0.000 0.249


What did the third record say?
Below is a relaxed structure of Li2TbMnTe4, with properties calculated at the PBE-GGA level.

energy relative to the elements, uncorrected	-834	meV per atom
total energy	-36.87	eV per cell
symmetry	P2/m
M_tot	4.059	μB/cell
crystal system	monoclinic

a = 7.256 Å, b = 4.206 Å, c = 7.351 Å
α = 90.00°, β = 108.75°, γ = 90.00°
Fractional positions:
Li 0.000 0.000 0.000
Li 0.500 0.500 0.000
Tb 0.000 0.500 0.500
Mn 0.500 0.000 0.500
Te 0.270 0.000 0.751
Te 0.274 0.500 0.259
Te 0.726 0.500 0.741
Te 0.730 0.000 0.249